MnHSe2N: relaxed, PBE.

## Properties
The energy relative to the lowest polymorph listed for this composition comes out at 156 meV per atom. Its final energy is -4.68 eV per atom.

```
MnHSe2N
1.0
4.9496 0.0000 0.0000
0.0000 4.9496 0.0000
0.0000 0.0000 2.6897
Se Mn N H
2 1 1 1
direct
0.0000 0.5000 0.0000 Se
0.5000 0.0000 0.0000 Se
0.5000 0.5000 0.5000 Mn
0.0000 0.0000 0.5000 N
0.0000 0.0000 0.0000 H
```

---

SrMnHN2: relaxed, PBE.

## Properties
Its final energy is -4.58 eV per atom.

```
SrMnHN2
1.0
-0.7896 -3.0571 -3.3391
3.4370 0.9461 -1.6790
2.1044 -3.2489 2.4769
N Mn H Sr
2 1 1 1
direct
0.0000 0.0000 0.5000 N
0.5000 0.0000 0.0000 N
0.5000 0.5000 0.5000 Mn
0.0000 0.5000 0.0000 H
0.0000 0.0000 0.0000 Sr
```

---

ThMnHN2: relaxed, PBE.

## Properties
Its final energy is -8.21 eV per atom.

```
ThMnHN2
1.0
3.4579 0.0000 0.0000
0.0000 3.9244 0.0000
0.0000 0.0000 3.9244
N Mn Th H
2 1 1 1
direct
0.0000 0.0000 0.5000 N
0.0000 0.5000 0.0000 N
0.0000 0.0000 0.0000 Mn
0.5000 0.5000 0.5000 Th
0.5000 0.0000 0.0000 H
```

---

YMnH2N: relaxed, PBE.

## Properties
Its final energy is -6.80 eV per atom.

```
YMnH2N
1.0
-0.0471 -3.2200 -1.3986
2.7586 -0.8990 1.9770
-2.3064 -1.1390 2.7001
Y N H Mn
1 1 2 1
direct
0.5000 0.5000 0.5000 Y
0.0000 0.0000 0.5000 N
0.5000 0.0000 0.0000 H
0.0000 0.5000 0.0000 H
0.0000 0.0000 0.0000 Mn
```

---

NaMnH3: relaxed, PBE.

## Properties
Its final energy is -3.89 eV per atom.

```
NaMnH3
1.0
-2.3777 2.2056 -0.2762
-0.3777 -2.5620 1.9718
3.5735 4.7034 6.7955
H Na Mn
6 2 2
direct
0.3333 0.6667 0.4516 H
0.6667 0.3333 0.5484 H
0.0000 0.0000 0.2500 H
0.3333 0.6667 0.0484 H
0.6667 0.3333 0.9516 H
0.0000 0.0000 0.7500 H
0.6667 0.3333 0.2500 Na
0.3333 0.6667 0.7500 Na
0.0000 0.0000 0.0000 Mn
0.0000 0.0000 0.5000 Mn
```

---

NaMnH3: relaxed, PBE.

## Properties
Its final energy is -4.09 eV per atom.

```
NaMnH3
1.0
5.9175 -0.0115 -0.0099
1.0079 3.2893 -0.0124
-2.3836 0.7602 4.9122
Mn Na H
2 2 6
direct
0.4736 0.1969 0.7900 Mn
0.6842 0.5914 0.8088 Mn
0.8914 0.9889 0.4544 Na
0.2448 0.8097 0.1507 Na
0.9758 0.4453 0.8206 H
0.6500 0.6097 0.5088 H
0.3636 0.7520 0.7824 H
0.4895 0.1877 0.0846 H
0.8988 0.4830 0.1198 H
0.2476 0.3109 0.4826 H
```